Record 1
The following is a PBE calculation of a relaxed structure of TeP, from Alexandria.

Values from the calculation:
* space group: P4/nmm (129)
* Fermi-level density of states: 0.3758 states/eV per atom
* spin magnetization: 0.00 μB per atom
* E: -3.956 eV per atom

a b c (Å): 3.0391 3.0391 11.4383
angles (deg): 90.00 90.00 90.00
Closest atoms and distances in Å follow each position.
Sites, in units of the cell vectors:
Te 0.2500 0.2500 0.1819  4 Te 3.04
Te 0.7500 0.7500 0.8181  4 Te 3.04
P 0.2500 0.2500 0.5414  4 P 2.35
P 0.7500 0.7500 0.4586  4 P 2.35

Record 2
The following is a PBE calculation of a relaxed structure of BeCo3I, from Alexandria.

Values from the calculation:
* offset from the most stable computed form: 0 meV per atom
* space group: Pm-3m (221)
* Fermi-level density of states: 0.8934 states/eV per atom
* spin magnetization: 0.75 μB per atom
* E: -4.581 eV per atom

a b c (Å): 4.0691 4.0691 4.0691
angles (deg): 90.00 90.00 90.00
Closest atoms and distances in Å follow each position.
Sites, in units of the cell vectors:
Be 0.0000 0.0000 0.0000  6 Co 2.03
Co 0.0000 0.0000 0.5000  2 Be 2.03
Co 0.0000 0.5000 0.0000  2 Be 2.03
Co 0.5000 0.0000 0.0000  2 Be 2.03
I 0.5000 0.5000 0.5000  12 Co 2.88

Record 3
The following is a PBE calculation of a relaxed structure of Mn4Zn, from Alexandria.

Values from the calculation:
* ΔH_f (0 K): 0.3468 eV per atom
* offset from the most stable computed form: 160 meV per atom
* space group: I4/mmm (139)
* Fermi-level density of states: 0.5729 states/eV per atom
* spin magnetization: 0.26 μB per atom
* E: -7.244 eV per atom

a b c (Å): 3.7670 3.7670 9.1734
angles (deg): 90.00 90.00 90.00
Closest atoms and distances in Å follow each position.
Sites, in units of the cell vectors:
Mn 0.0000 0.0000 0.1154  5 Mn 2.12-2.25
Mn 0.0000 0.0000 0.8846  5 Mn 2.12-2.25
Mn 0.0000 0.5000 0.2500  4 Mn 2.25
Mn 0.0000 0.5000 0.7500  4 Mn 2.25
Mn 0.5000 0.0000 0.2500  4 Mn 2.25
Mn 0.5000 0.0000 0.7500  4 Mn 2.25
Mn 0.5000 0.5000 0.3846  5 Mn 2.12-2.25
Mn 0.5000 0.5000 0.6154  5 Mn 2.12-2.25
Zn 0.0000 0.0000 0.5000  16 Mn 2.87-2.97
Zn 0.5000 0.5000 0.0000  16 Mn 2.87-2.97

Record 4
The following is a PBE calculation of a relaxed structure of CdSbRh, from Alexandria.

Values from the calculation:
* space group: I4mm (107)
* Fermi-level density of states: 0.4603 states/eV per atom
* spin magnetization: 0.00 μB per atom
* E: -4.331 eV per atom

a b c (Å): 3.1700 3.1700 12.5845
angles (deg): 90.00 90.00 90.00
Closest atoms and distances in Å follow each position.
Sites, in units of the cell vectors:
Cd 0.0000 0.0000 0.0000  4 Rh 2.90, 4 Cd 3.17
Cd 0.5000 0.5000 0.5000  4 Rh 2.90, 4 Cd 3.17
Sb 0.0000 0.0000 0.7285  4 Rh 2.74
Sb 0.5000 0.5000 0.2285  4 Rh 2.74
Rh 0.0000 0.0000 0.3535  4 Sb 2.74, 4 Cd 2.90
Rh 0.5000 0.5000 0.8535  4 Sb 2.74, 4 Cd 2.90

- Among the records above, which one has the highest Fermi-level density of states?
  BeCo3I

- What is the E in the second record?
  -4.581 eV per atom

- What is the spin magnetization in the fourth record?
  0.00 μB per atom